Run 1
Density functional theory data (PBE) for a relaxed structure of TbEr6Mg.

Lattice parameters (Å, degrees): 8.474 9.262 6.280 42.40 47.54 56.80
Fractional coordinates of all 8 atoms:
Mg: 0.000 0.000 0.000
Er: 0.472 0.757 0.726
Er: 0.045 0.472 0.240
Er: 0.955 0.528 0.760
Tb: 0.500 0.500 0.500
Er: 0.528 0.243 0.274
Er: 0.757 0.955 0.816
Er: 0.243 0.045 0.184

Results
Fermi-level density of states = 1.60 states/eV per atom



Run 2
Density functional theory data (PBE) for a relaxed structure of TbEr6Mg.

Lattice parameters (Å, degrees): 4.960 6.026 9.183 77.10 74.33 65.70
Fractional coordinates of all 8 atoms:
Er: 0.246 0.384 0.124
Er: 0.754 0.616 0.876
Er: 0.750 0.127 0.373
Er: 0.498 0.754 0.249
Tb: 0.000 0.500 0.500
Er: 0.502 0.246 0.751
Er: 0.250 0.873 0.627
Mg: 0.000 0.000 0.000

Results
Fermi-level density of states = 1.57 states/eV per atom



Last place for stability: run 1



Run 1
Density functional theory data (PBE) for a relaxed structure of Tb5Er4Mg.

Lattice parameters (Å, degrees): 5.720 7.971 7.971 82.60 68.97 68.97
Fractional coordinates of all 10 atoms:
Tb: 0.137 0.628 0.000
Er: 0.783 0.678 0.678
Mg: 0.192 0.000 0.000
Tb: 0.137 0.000 0.628
Tb: 0.669 0.000 0.000
Tb: 0.765 0.000 0.372
Er: 0.462 0.322 0.678
Tb: 0.765 0.372 0.000
Er: 0.139 0.322 0.322
Er: 0.461 0.678 0.322

Results
Fermi-level density of states = 1.12 states/eV per atom



Run 2
Density functional theory data (PBE) for a relaxed structure of Tb5Er4Mg.

Lattice parameters (Å, degrees): 3.544 3.544 24.295 90.00 90.00 90.00
Fractional coordinates of all 10 atoms:
Tb: 0.500 0.500 0.500
Er: 0.000 0.000 0.398
Er: 0.000 0.000 0.192
Er: 0.000 0.000 0.602
Tb: 0.500 0.500 0.295
Er: 0.000 0.000 0.808
Tb: 0.500 0.500 0.909
Tb: 0.500 0.500 0.705
Tb: 0.500 0.500 0.091
Mg: 0.000 0.000 0.000

Results
Fermi-level density of states = 1.32 states/eV per atom



Last place for stability: run 1



Run 1
Density functional theory data (PBE) for a relaxed structure of Tb3Er6Mg.

Lattice parameters (Å, degrees): 8.908 8.765 8.765 116.34 90.00 90.00
Fractional coordinates of all 20 atoms:
Tb: 0.919 0.462 0.538
Er: 0.770 0.828 0.523
Er: 0.100 0.288 0.156
Tb: 0.435 0.322 0.032
Er: 0.600 0.712 0.844
Er: 0.657 0.293 0.707
Mg: 0.515 0.767 0.233
Tb: 0.435 0.968 0.678
Er: 0.785 0.063 0.937
Er: 0.770 0.477 0.172
Tb: 0.419 0.538 0.462
Er: 0.285 0.937 0.063
Er: 0.157 0.707 0.293
Er: 0.270 0.172 0.477
Tb: 0.935 0.032 0.322
Er: 0.100 0.844 0.712
Er: 0.270 0.523 0.828
Er: 0.600 0.156 0.288
Tb: 0.935 0.678 0.968
Mg: 0.015 0.233 0.767

Results
Fermi-level density of states = 1.23 states/eV per atom



Run 2
Density functional theory data (PBE) for a relaxed structure of Tb3Er6Mg.

Lattice parameters (Å, degrees): 4.974 11.024 11.084 90.31 90.00 90.00
Fractional coordinates of all 20 atoms:
Tb: 0.250 0.752 0.003
Er: 0.250 0.245 0.498
Er: 0.250 0.150 0.197
Tb: 0.750 0.652 0.203
Er: 0.250 0.853 0.305
Er: 0.750 0.552 0.898
Mg: 0.250 0.951 0.600
Mg: 0.750 0.049 0.400
Er: 0.250 0.048 0.899
Er: 0.750 0.147 0.695
Er: 0.750 0.952 0.101
Er: 0.750 0.755 0.502
Tb: 0.750 0.248 0.997
Er: 0.750 0.347 0.300
Er: 0.250 0.653 0.700
Er: 0.250 0.448 0.102
Er: 0.750 0.850 0.803
Tb: 0.250 0.551 0.400
Tb: 0.750 0.449 0.600
Tb: 0.250 0.348 0.797

Results
Fermi-level density of states = 1.35 states/eV per atom



Last place for stability: run 1



Run 1
Density functional theory data (PBE) for a relaxed structure of TbErMg3.

Lattice parameters (Å, degrees): 9.009 9.009 9.009 39.99 39.99 39.99
Each line ends with the local moment (μB).
Fractional coordinates of all 10 atoms:
Tb: 0.165 0.165 0.165  0.05
Mg: 0.122 0.122 0.612  0.00
Er: 0.433 0.433 0.433  0.07
Mg: 0.878 0.388 0.878  0.00
Er: 0.567 0.567 0.567  0.07
Mg: 0.612 0.122 0.122  0.00
Mg: 0.388 0.878 0.878  0.00
Tb: 0.835 0.835 0.835  0.05
Mg: 0.878 0.878 0.388  0.00
Mg: 0.122 0.612 0.122  0.00

Results
Fermi-level density of states = 1.09 states/eV per atom



Run 2
Density functional theory data (PBE) for a relaxed structure of TbErMg3.

Lattice parameters (Å, degrees): 5.157 11.430 11.430 54.23 76.94 76.94
Fractional coordinates of all 20 atoms:
Er: 0.250 0.128 0.872
Mg: 0.056 0.836 0.550
Mg: 0.444 0.450 0.164
Mg: 0.641 0.725 0.493
Er: 0.750 0.372 0.628
Mg: 0.153 0.974 0.221
Mg: 0.359 0.275 0.507
Mg: 0.847 0.026 0.779
Mg: 0.347 0.779 0.026
Er: 0.750 0.872 0.128
Mg: 0.141 0.493 0.725
Er: 0.250 0.628 0.372
Tb: 0.051 0.320 0.077
Mg: 0.556 0.550 0.836
Mg: 0.859 0.507 0.275
Tb: 0.449 0.923 0.680
Mg: 0.944 0.164 0.450
Tb: 0.551 0.077 0.320
Mg: 0.653 0.221 0.974
Tb: 0.949 0.680 0.923

Results
Fermi-level density of states = 1.06 states/eV per atom



Last place for stability: run 1



Run 1
Density functional theory data (PBE) for a relaxed structure of TbEr2Mg4.

Lattice parameters (Å, degrees): 5.362 5.362 8.127 109.26 109.26 90.00
Each line ends with the local moment (μB).
Fractional coordinates of all 7 atoms:
Mg: 0.618 0.118 0.237  0.00
Er: 0.249 0.249 0.499  0.08
Tb: 0.000 0.000 0.000  -0.01
Er: 0.751 0.751 0.501  0.08
Mg: 0.382 0.882 0.763  0.00
Mg: 0.118 0.618 0.237  0.00
Mg: 0.882 0.382 0.763  0.00

Results
Fermi-level density of states = 0.91 states/eV per atom



Run 2
Density functional theory data (PBE) for a relaxed structure of TbEr2Mg4.

Lattice parameters (Å, degrees): 5.437 5.947 7.103 114.75 90.00 90.00
Fractional coordinates of all 7 atoms:
Mg: 0.000 0.746 0.492
Er: 0.500 0.131 0.262
Mg: 0.000 0.254 0.508
Er: 0.500 0.869 0.738
Mg: 0.500 0.380 0.760
Tb: 0.000 0.500 0.000
Mg: 0.500 0.620 0.240

Results
Fermi-level density of states = 0.76 states/eV per atom



Last place for stability: run 2



Run 1
Density functional theory data (PBE) for a relaxed structure of Tb7Er3Mg.

Lattice parameters (Å, degrees): 6.505 6.481 9.834 121.82 101.16 85.10
Fractional coordinates of all 11 atoms:
Tb: 0.991 0.669 0.407
Er: 0.266 0.003 0.782
Tb: 0.546 0.440 0.145
Tb: 0.500 0.000 0.500
Tb: 0.454 0.560 0.855
Mg: 0.500 0.500 0.500
Tb: 0.799 0.912 0.841
Tb: 0.201 0.088 0.159
Er: 0.000 0.500 0.000
Tb: 0.009 0.331 0.593
Er: 0.734 0.997 0.218

Results
Fermi-level density of states = 1.51 states/eV per atom



Run 2
Density functional theory data (PBE) for a relaxed structure of Tb7Er3Mg.

Lattice parameters (Å, degrees): 8.523 6.974 6.974 120.00 90.00 90.00
Fractional coordinates of all 11 atoms:
Tb: 0.448 0.830 0.170
Mg: 0.448 0.333 0.667
Tb: 0.448 0.830 0.661
Tb: 0.448 0.339 0.170
Er: 0.785 0.501 0.499
Er: 0.785 0.501 0.003
Er: 0.785 0.997 0.499
Tb: 0.118 0.167 0.833
Tb: 0.118 0.167 0.334
Tb: 0.118 0.666 0.833
Tb: 0.116 0.667 0.333

Results
Fermi-level density of states = 1.36 states/eV per atom



Last place for stability: run 2